The following is a PBE calculation of a geometry-optimized Cr2CdRu structure, from Alexandria via LeMat-Bulk.

abc: 5.157 5.157 4.524
angles: 64.48 64.48 33.42
Sites, in units of the cell vectors:
Cd1 0.254 0.254 0.246
Cr1 0.026 0.026 0.973
Cr2 0.743 0.743 0.757
Ru1 0.477 0.477 0.524

Calculated volume, Å³ per cell: 59.19
DOS(E_F), states/eV/atom: 0.89
Calculated formation energy, meV/atom: 369
Crystal system: monoclinic